[1]
YHg2Ir: relaxed, PBE.

Values from the calculation:
Distance to the lowest polymorph of the same formula: 0.046 eV/atom
E_form: -216 meV/atom

Cell: 3.3727 3.3727 7.8026 Å, 90.00 90.00 90.00°
Space group P4mm (No. 99)
Asymmetric unit:
Y 0.0000 0.0000 0.0000 [1 per cell]
Hg 0.0000 0.0000 0.5702 [1 per cell]
Hg 0.5000 0.5000 0.2976 [1 per cell]
Ir 0.5000 0.5000 0.7969 [1 per cell]

=====

[2]
KTl5Bi2: relaxed, PBE.

Values from the calculation:
E_form: -74 meV/atom

Cell: 4.6243 9.8045 12.8712 Å, 90.00 90.00 90.00°
Space group Immm (No. 71)
Asymmetric unit:
K 0.0000 0.0000 0.0000 [2 per cell]
Tl 0.0000 0.1858 0.3549 [8 per cell]
Tl 0.0000 0.5000 0.0000 [2 per cell]
Bi 0.0000 0.5000 0.2696 [4 per cell]

=====

[3]
Tb2Ga4Cu3Ag: relaxed, PBE.

Values from the calculation:
E_form: -409 meV/atom

Cell: 4.1583 4.1583 10.4003 Å, 90.00 90.00 90.00°
Space group P-4m2 (No. 115)
Asymmetric unit:
Tb 0.0000 0.5000 0.2421 [2 per cell]
Ga 0.0000 0.0000 0.0000 [1 per cell]
Ga 0.0000 0.5000 0.6446 [2 per cell]
Ga 0.5000 0.5000 0.0000 [1 per cell]
Cu 0.0000 0.5000 0.8718 [2 per cell]
Cu 0.5000 0.5000 0.5000 [1 per cell]
Ag 0.0000 0.0000 0.5000 [1 per cell]

=====

[4]
Zr3TaAg: relaxed, PBE.

Values from the calculation:
Distance to the lowest polymorph of the same formula: 0.319 eV/atom
E_form: 1312 meV/atom

Cell: 5.0635 5.0635 5.0635 Å, 90.00 90.00 90.00°
Space group Pm-3m (No. 221)
Asymmetric unit:
Zr 0.0000 0.0000 0.5000 [3 per cell]
Ta 0.5000 0.5000 0.5000 [1 per cell]
Ag 0.0000 0.0000 0.0000 [1 per cell]

=====

[5]
AcGa2P: relaxed, PBE.

Values from the calculation:
Distance to the lowest polymorph of the same formula: 0.220 eV/atom
E_form: -245 meV/atom

Cell: 3.6939 3.6939 6.6739 Å, 90.00 90.00 90.00°
Space group P4/mmm (No. 123)
Asymmetric unit:
Ac 0.0000 0.0000 0.0000 [1 per cell]
Ga 0.5000 0.5000 0.3127 [2 per cell]
P 0.0000 0.0000 0.5000 [1 per cell]

=====

[6]
Tm2Ag2Hg: relaxed, PBE.

Values from the calculation:
E_form: -122 meV/atom

Cell: 5.0075 5.0075 6.0053 Å, 90.00 90.00 120.00°
Space group P-3m1 (No. 164)
Asymmetric unit:
Tm 0.3333 0.6667 0.1899 [2 per cell]
Ag 0.3333 0.6667 0.6879 [2 per cell]
Hg 0.0000 0.0000 0.0000 [1 per cell]

=====

The highest E_form belongs to which entry? Zr3TaAg